Entry 1:
# PBE-GGA InCoRe2, optimized geometry
data_InCoRe2
_cell_length_a 2.8566
_cell_length_b 2.8566
_cell_length_c 7.4492
_cell_angle_alpha 90.00
_cell_angle_beta 90.00
_cell_angle_gamma 90.00
_symmetry_space_group_name_H-M 'P 1'
_symmetry_Int_Tables_number 1
loop_
_symmetry_equiv_pos_as_xyz
'x,y,z'
loop_
_atom_site_label
_atom_site_type_symbol
_atom_site_fract_x
_atom_site_fract_y
_atom_site_fract_z
In1 In 0.5000 0.5000 0.7323
Re1 Re 0.0000 0.0000 0.0261
Re2 Re 0.5000 0.5000 0.2607
Co1 Co 0.0000 0.0000 0.4809
# Energy relative to the elements in meV per atom: 244
# DFT total energy in eV per atom: -8.44
# Mass density in g/cm³: 14.9

***

Entry 2:
# PBE-GGA LiY2HoPd4, optimized geometry
data_LiY2HoPd4
_cell_length_a 4.8840
_cell_length_b 4.8840
_cell_length_c 8.3352
_cell_angle_alpha 72.96
_cell_angle_beta 72.96
_cell_angle_gamma 60.00
_symmetry_space_group_name_H-M 'P 1'
_symmetry_Int_Tables_number 1
loop_
_symmetry_equiv_pos_as_xyz
'x,y,z'
loop_
_atom_site_label
_atom_site_type_symbol
_atom_site_fract_x
_atom_site_fract_y
_atom_site_fract_z
Y1 Y 0.7575 0.7575 0.7275
Y2 Y 0.2425 0.2425 0.2725
Li1 Li 0.5000 0.5000 0.5000
Pd1 Pd 0.1205 0.1205 0.6385
Pd2 Pd 0.6262 0.6262 0.1213
Pd3 Pd 0.8795 0.8795 0.3615
Pd4 Pd 0.3738 0.3738 0.8787
Ho1 Ho 0.0000 0.0000 0.0000
# Energy relative to the elements in meV per atom: -791
# DFT total energy in eV per atom: -5.81
# Mass density in g/cm³: 7.9